(1)
NiMoRh2 | Alexandria via LeMat-Bulk | PBE | relaxed; volume = 55.6 Å³/cell; energy above the lowest structure with this stoichiometry = 146 meV/atom; space group = No. 123
1.0
-0.294 2.515 1.032
-1.962 0.524 -1.831
-5.114 -2.548 4.750
Mo Ni Rh
1 1 2
direct
0.500 0.500 0.250 Mo
0.500 0.500 0.750 Ni
0.000 0.000 0.993 Rh
0.000 0.000 0.507 Rh

---

(2)
NiMoRh2 | Alexandria via LeMat-Bulk | PBE | relaxed; volume = 55.1 Å³/cell; energy above the lowest structure with this stoichiometry = 105 meV/atom; space group = No. 119
1.0
-1.602 4.203 -1.384
-3.089 -0.443 -3.522
0.357 -2.056 4.220
Ni Mo Rh
1 1 2
direct
0.250 0.750 0.500 Ni
0.500 0.500 0.000 Mo
0.000 0.000 0.000 Rh
0.750 0.250 0.500 Rh

---

(3)
NiMoRh2 | Alexandria via LeMat-Bulk | PBE | relaxed; volume = 56.0 Å³/cell; energy above the lowest structure with this stoichiometry = 270 meV/atom; space group = No. 160
1.0
-5.489 -6.483 2.595
-3.165 -7.897 2.553
-3.836 -6.447 4.756
Mo Ni Rh
1 1 2
direct
0.498 0.498 0.498 Mo
0.750 0.750 0.750 Ni
0.003 0.003 0.003 Rh
0.249 0.249 0.249 Rh